Density functional theory data (PBEsol) for a relaxed structure of Na4CoO3.

```
Na4CoO3
1.0
5.705 0.000 0.000
-2.853 5.460 -0.041
0.000 -3.349 7.445
Na O Co
8 6 2
direct
0.890 0.373 0.290
0.483 0.373 0.790
0.924 0.164 0.562
0.651 0.974 0.888
0.324 0.974 0.388
0.450 0.545 0.477
0.239 0.164 0.062
0.095 0.545 0.977
0.256 0.611 0.728
0.006 0.027 0.264
0.022 0.027 0.764
0.698 0.382 0.548
0.355 0.611 0.228
0.684 0.382 0.048
0.023 0.718 0.688
0.695 0.718 0.188
```

Summary:
Size of the total moment, μB/f.u.: 2.999
DFT total energy, eV/atom: -4.80

=====

Density functional theory data (PBEsol) for a relaxed structure of Na6CoO4.

```
Na6CoO4
1.0
-4.831 0.758 -7.801
5.865 -7.062 -0.696
-5.749 -1.468 7.039
Co Na O
4 24 16
direct
0.250 0.250 0.250
0.750 0.000 0.000
0.000 0.000 0.750
0.000 0.750 0.000
0.735 0.459 0.000
0.795 0.578 0.578
0.000 0.459 0.735
0.000 0.422 0.217
0.217 0.422 0.000
0.265 0.724 0.265
0.205 0.783 0.783
0.783 0.783 0.205
0.724 0.265 0.265
0.541 0.276 0.541
0.578 0.578 0.795
0.541 0.541 0.276
0.735 0.000 0.459
0.459 0.735 0.000
0.000 0.735 0.459
0.422 0.217 0.000
0.578 0.795 0.578
0.459 0.000 0.735
0.217 0.000 0.422
0.265 0.265 0.724
0.783 0.205 0.783
0.276 0.541 0.541
0.000 0.217 0.422
0.422 0.000 0.217
0.723 0.205 0.000
0.795 0.517 0.795
0.000 0.000 0.000
0.500 0.500 0.000
0.000 0.205 0.723
0.517 0.795 0.795
0.205 0.723 0.000
0.277 0.483 0.277
0.795 0.795 0.517
0.277 0.277 0.483
0.000 0.500 0.500
0.205 0.000 0.723
0.500 0.000 0.500
0.000 0.723 0.205
0.723 0.000 0.205
0.483 0.277 0.277
```

Summary:
Size of the total moment, μB/f.u.: 3.054
DFT total energy, eV/atom: -4.43
Excess energy over the best structure of this formula in the dataset, eV per atom: 0.075

=====

Density functional theory data (PBEsol) for a relaxed structure of Na14Co2O9.

```
Na14Co2O9
1.0
-4.174 -3.950 -3.197
3.033 -2.127 5.433
-6.981 3.206 5.152
Na O Co
14 9 2
direct
0.311 0.932 0.406
0.000 0.000 0.251
0.361 0.035 0.908
0.000 0.000 0.749
0.621 0.689 0.406
0.932 0.621 0.594
0.326 0.361 0.092
0.068 0.379 0.406
0.035 0.674 0.092
0.965 0.326 0.908
0.674 0.639 0.908
0.689 0.068 0.594
0.379 0.311 0.594
0.639 0.965 0.092
0.000 0.000 0.000
0.303 0.937 0.664
0.063 0.367 0.664
0.333 0.667 0.951
0.937 0.633 0.336
0.367 0.303 0.336
0.697 0.063 0.336
0.667 0.333 0.049
0.633 0.697 0.664
0.333 0.667 0.736
0.667 0.333 0.264
```

Summary:
Size of the total moment, μB/f.u.: 6.152
DFT total energy, eV/atom: -4.42

=====

Density functional theory data (PBEsol) for a relaxed structure of Na3CoO3.

```
Na3CoO3
1.0
5.929 0.000 0.000
0.000 6.522 -0.034
0.000 -0.652 9.605
O Na Co
12 12 4
direct
0.126 0.740 0.970
0.462 0.109 0.882
0.626 0.260 0.530
0.062 0.333 0.685
0.038 0.109 0.382
0.938 0.667 0.315
0.438 0.333 0.185
0.538 0.891 0.118
0.562 0.667 0.815
0.874 0.260 0.030
0.962 0.891 0.618
0.374 0.740 0.470
0.303 0.373 0.418
0.697 0.627 0.582
0.219 0.642 0.688
0.781 0.358 0.312
0.632 0.923 0.349
0.719 0.358 0.812
0.368 0.077 0.651
0.803 0.627 0.082
0.868 0.923 0.849
0.281 0.642 0.188
0.132 0.077 0.151
0.197 0.373 0.918
0.407 0.837 0.936
0.093 0.837 0.436
0.593 0.163 0.064
0.907 0.163 0.564
```

Summary:
Size of the total moment, μB/f.u.: 4.000
DFT total energy, eV/atom: -5.19
Excess energy over the best structure of this formula in the dataset, eV per atom: 0.033

=====

Density functional theory data (PBEsol) for a relaxed structure of Na3Co5O10.

```
Na3Co5O10
1.0
-3.492 -0.726 -3.289
2.576 -0.709 -4.995
-1.398 -7.313 -0.479
Na O Co
3 10 5
direct
0.234 0.505 0.398
0.631 0.505 0.602
0.435 0.505 0.000
0.797 0.819 0.400
0.412 0.175 0.596
0.197 0.819 0.600
0.997 0.829 0.000
0.212 0.170 0.000
0.602 0.175 0.199
0.008 0.175 0.404
0.389 0.820 0.201
0.801 0.175 0.801
0.590 0.820 0.799
0.403 0.994 0.399
0.998 0.004 0.200
0.802 0.994 0.601
0.198 0.004 0.800
0.602 0.992 0.000
```

Summary:
Size of the total moment, μB/f.u.: 2.138
DFT total energy, eV/atom: -6.57

=====

Density functional theory data (PBEsol) for a relaxed structure of Na3CoO3.

```
Na3CoO3
1.0
7.424 0.000 0.000
0.000 7.424 0.000
0.000 0.000 7.424
Na O Co
12 12 4
direct
0.208 0.292 0.708
0.233 0.733 0.767
0.964 0.536 0.464
0.708 0.208 0.292
0.267 0.267 0.267
0.733 0.767 0.233
0.292 0.708 0.208
0.036 0.036 0.036
0.464 0.964 0.536
0.536 0.464 0.964
0.767 0.233 0.733
0.792 0.792 0.792
0.274 0.596 0.501
0.501 0.274 0.596
0.404 0.001 0.226
0.999 0.726 0.096
0.774 0.904 0.499
0.596 0.501 0.274
0.096 0.999 0.726
0.001 0.226 0.404
0.904 0.499 0.774
0.226 0.404 0.001
0.499 0.774 0.904
0.726 0.096 0.999
0.478 0.478 0.478
0.522 0.978 0.022
0.022 0.522 0.978
0.978 0.022 0.522
```

Summary:
Size of the total moment, μB/f.u.: 4.002
DFT total energy, eV/atom: -5.14
Excess energy over the best structure of this formula in the dataset, eV per atom: 0.087

=====

- Which of these has the highest DFT total energy?
  Na14Co2O9

=====

What did the sixth record say?
Density functional theory data (PBEsol) for a relaxed structure of Na3CoO3.

```
Na3CoO3
1.0
7.424 0.000 0.000
0.000 7.424 0.000
0.000 0.000 7.424
Na O Co
12 12 4
direct
0.208 0.292 0.708
0.233 0.733 0.767
0.964 0.536 0.464
0.708 0.208 0.292
0.267 0.267 0.267
0.733 0.767 0.233
0.292 0.708 0.208
0.036 0.036 0.036
0.464 0.964 0.536
0.536 0.464 0.964
0.767 0.233 0.733
0.792 0.792 0.792
0.274 0.596 0.501
0.501 0.274 0.596
0.404 0.001 0.226
0.999 0.726 0.096
0.774 0.904 0.499
0.596 0.501 0.274
0.096 0.999 0.726
0.001 0.226 0.404
0.904 0.499 0.774
0.226 0.404 0.001
0.499 0.774 0.904
0.726 0.096 0.999
0.478 0.478 0.478
0.522 0.978 0.022
0.022 0.522 0.978
0.978 0.022 0.522
```

Summary:
Size of the total moment, μB/f.u.: 4.002
DFT total energy, eV/atom: -5.14
Excess energy over the best structure of this formula in the dataset, eV per atom: 0.087